# PBE-GGA Ac3U2N7, optimized geometry
# VASP energy   -9.1167 eV per atom
# Offset from the most stable computed form   0.0 meV per atom
# Crystal system   tetragonal
data_Ac3U2N7
_cell_length_a 4.3199
_cell_length_b 4.3199
_cell_length_c 21.9740
_cell_angle_alpha 90.00
_cell_angle_beta 90.00
_cell_angle_gamma 90.00
_symmetry_space_group_name_H-M 'I 4/m m m'
_symmetry_Int_Tables_number 139
_symmetry_space_group_name_Hall '-I 4 2'
loop_
_atom_site_label
_atom_site_fract_x
_atom_site_fract_y
_atom_site_fract_z
_atom_site_occupancy
Ac1 0.0000 0.0000 0.0000 1
Ac2 0.0000 0.0000 0.1867 1
U1 0.0000 0.0000 0.4012 1
N1 0.0000 0.0000 0.3010 1
N2 0.0000 0.0000 0.5000 1
N3 0.0000 0.5000 0.0973 1